1.
A plane-wave DFT calculation with PBE-GGA was carried out for a relaxed structure of NdTl2InBr6.

Lattice parameters (Å, degrees): 8.216 8.223 8.508 61.15 61.13 60.03
Space group P1 (No. 1)
One atom of each set of equivalent atoms:
Nd1 0.000 0.000 0.000 x1
Tl1 0.205 0.205 0.383 x1
Tl2 0.697 0.696 0.910 x1
In1 0.491 0.491 0.527 x1
Br1 0.108 0.354 0.738 x1
Br2 0.249 0.878 0.216 x1
Br3 0.354 0.801 0.737 x1
Br4 0.657 0.249 0.216 x1
Br5 0.800 0.108 0.738 x1
Br6 0.878 0.657 0.216 x1

***

2.
A plane-wave DFT calculation with PBE-GGA was carried out for a relaxed structure of In2NiBr.

Lattice parameters (Å, degrees): 4.331 4.331 9.776 90.00 90.00 90.00
Space group I4/mmm (No. 139)
One atom of each set of equivalent atoms:
In1 0.000 0.500 0.250 x4
Ni1 0.000 0.000 0.000 x2
Br1 0.000 0.000 0.500 x2

Summary:
The calculation puts the energy above the most stable polymorph in this dataset at 479.7 meV per atom.

***

3.
A plane-wave DFT calculation with PBE-GGA was carried out for a relaxed structure of In3NiBr.

Lattice parameters (Å, degrees): 5.056 5.056 5.056 90.00 90.00 90.00
Space group Pm-3m (No. 221)
One atom of each set of equivalent atoms:
In1 0.000 0.000 0.500 x3
Ni1 0.000 0.000 0.000 x1
Br1 0.500 0.500 0.500 x1

Summary:
The calculation puts the energy above the most stable polymorph in this dataset at 0.0 meV per atom.

***

4.
A plane-wave DFT calculation with PBE-GGA was carried out for a relaxed structure of InNiBr2.

Lattice parameters (Å, degrees): 7.779 8.090 3.854 90.00 116.36 90.00
Space group C2/m (No. 12)
One atom of each set of equivalent atoms:
In1 0.000 0.000 0.000 x2
Ni1 0.000 0.500 0.000 x2
Br1 0.250 0.250 0.500 x4

Summary:
The calculation puts the energy above the most stable polymorph in this dataset at 465.9 meV per atom.

***

5.
A plane-wave DFT calculation with PBE-GGA was carried out for a relaxed structure of InNiBr2.

Lattice parameters (Å, degrees): 4.006 4.151 6.555 90.00 90.00 90.00
Space group Pmmm (No. 47)
One atom of each set of equivalent atoms:
In1 0.000 0.000 0.000 x1
Ni1 0.500 0.000 0.500 x1
Br1 0.000 0.500 0.500 x1
Br2 0.500 0.500 0.000 x1

Summary:
The calculation puts the energy above the most stable polymorph in this dataset at 476.3 meV per atom.

***

6.
A plane-wave DFT calculation with PBE-GGA was carried out for a relaxed structure of In2NiBr.

Lattice parameters (Å, degrees): 3.6789 3.6789 23.4148 90.00 90.00 120.00
Space group R-3m (No. 166, hexagonal axes)
One atom of each set of equivalent atoms:
In1 0.0000 0.0000 0.2322 x6
Ni1 0.0000 0.0000 0.5000 x3
Br1 0.0000 0.0000 0.0000 x3

Summary:
The calculation puts the energy above the most stable polymorph in this dataset at 0.0 meV per atom.

***

7.
A plane-wave DFT calculation with PBE-GGA was carried out for a relaxed structure of In3NiBr.

Lattice parameters (Å, degrees): 5.919 5.919 5.919 90.00 90.00 90.00
Space group Pm-3m (No. 221)
One atom of each set of equivalent atoms:
In1 0.000 0.000 0.500 x3
Ni1 0.500 0.500 0.500 x1
Br1 0.000 0.000 0.000 x1

Summary:
The calculation puts the energy above the most stable polymorph in this dataset at 1165.6 meV per atom.

***

8.
A plane-wave DFT calculation with PBE-GGA was carried out for a relaxed structure of InNiBr2.

Lattice parameters (Å, degrees): 5.408 3.644 6.381 90.00 112.91 90.00
Space group P2/m (No. 10)
One atom of each set of equivalent atoms:
In1 0.000 0.000 0.000 x1
Ni1 0.500 0.000 0.000 x1
Br1 0.353 0.500 0.715 x2

Summary:
The calculation puts the energy above the most stable polymorph in this dataset at 15.5 meV per atom.

***

9.
A plane-wave DFT calculation with PBE-GGA was carried out for a relaxed structure of InNiBr2.

Lattice parameters (Å, degrees): 4.086 4.086 12.987 90.00 90.00 90.00
Space group I-4m2 (No. 119)
One atom of each set of equivalent atoms:
In1 0.000 0.000 0.000 x2
Ni1 0.000 0.500 0.750 x2
Br1 0.000 0.000 0.500 x2
Br2 0.000 0.500 0.250 x2

Summary:
The calculation puts the energy above the most stable polymorph in this dataset at 475.5 meV per atom.

***

10.
A plane-wave DFT calculation with PBE-GGA was carried out for a relaxed structure of InNiBr2.

Lattice parameters (Å, degrees): 7.260 7.260 7.260 90.00 90.00 90.00
Space group F-43m (No. 216)
One atom of each set of equivalent atoms:
In1 0.000 0.000 0.000 x4
Ni1 0.250 0.250 0.250 x4
Br1 0.000 0.000 0.500 x4
Br2 0.250 0.250 0.750 x4

Summary:
The calculation puts the energy above the most stable polymorph in this dataset at 700.3 meV per atom.

***

11.
A plane-wave DFT calculation with PBE-GGA was carried out for a relaxed structure of InNiBr2.

Lattice parameters (Å, degrees): 3.592 6.903 8.858 90.00 90.00 90.00
Space group Cmmm (No. 65)
One atom of each set of equivalent atoms:
In1 0.000 0.000 0.000 x2
Ni1 0.000 0.000 0.500 x2
Br1 0.000 0.500 0.312 x4

Summary:
The calculation puts the energy above the most stable polymorph in this dataset at 152.9 meV per atom.

***

12.
A plane-wave DFT calculation with PBE-GGA was carried out for a relaxed structure of InNiBr2.

Lattice parameters (Å, degrees): 5.226 5.226 3.617 90.00 90.00 90.00
Space group P4/mmm (No. 123)
One atom of each set of equivalent atoms:
In1 0.000 0.000 0.000 x1
Ni1 0.500 0.500 0.000 x1
Br1 0.000 0.500 0.500 x2

Summary:
The calculation puts the energy above the most stable polymorph in this dataset at 501.0 meV per atom.

***

13.
A plane-wave DFT calculation with PBE-GGA was carried out for a relaxed structure of InNiBr2.

Lattice parameters (Å, degrees): 3.551 5.922 10.151 90.00 90.00 90.00
Space group Immm (No. 71)
One atom of each set of equivalent atoms:
In1 0.000 0.000 0.000 x2
Ni1 0.000 0.000 0.500 x2
Br1 0.000 0.500 0.165 x4

Summary:
The calculation puts the energy above the most stable polymorph in this dataset at 40.3 meV per atom.

***

14.
A plane-wave DFT calculation with PBE-GGA was carried out for a relaxed structure of In2NiBr.

Lattice parameters (Å, degrees): 7.315 7.315 7.315 90.00 90.00 90.00
Space group Fm-3m (No. 225)
One atom of each set of equivalent atoms:
In1 0.250 0.250 0.250 x8
Ni1 0.000 0.000 0.000 x4
Br1 0.000 0.000 0.500 x4

Summary:
The calculation puts the energy above the most stable polymorph in this dataset at 480.9 meV per atom.

***

15.
A plane-wave DFT calculation with PBE-GGA was carried out for a relaxed structure of In2NiBr.

Lattice parameters (Å, degrees): 3.315 3.347 7.952 90.00 90.06 90.00
Space group P2/m (No. 10)
One atom of each set of equivalent atoms:
In1 0.001 0.000 0.190 x2
Ni1 0.500 0.500 0.000 x1
Br1 0.000 0.500 0.500 x1

Summary:
The calculation puts the energy above the most stable polymorph in this dataset at 37.0 meV per atom.

***

16.
A plane-wave DFT calculation with PBE-GGA was carried out for a relaxed structure of InNiBr2.

Lattice parameters (Å, degrees): 7.885 7.885 6.794 90.00 90.00 90.00
Space group I-42d (No. 122)
One atom of each set of equivalent atoms:
In1 0.000 0.000 0.000 x4
Ni1 0.000 0.000 0.500 x4
Br1 0.148 0.250 0.625 x8

Summary:
The calculation puts the energy above the most stable polymorph in this dataset at 34.7 meV per atom.

***

17.
A plane-wave DFT calculation with PBE-GGA was carried out for a relaxed structure of In2NiBr.

Lattice parameters (Å, degrees): 3.579 3.579 8.027 90.00 90.00 90.00
Space group P4mm (No. 99)
One atom of each set of equivalent atoms:
In1 0.000 0.000 0.000 x1
In2 0.500 0.500 0.386 x1
Ni1 0.000 0.000 0.314 x1
Br1 0.500 0.500 0.778 x1

Summary:
The calculation puts the energy above the most stable polymorph in this dataset at 38.1 meV per atom.

***

18.
A plane-wave DFT calculation with PBE-GGA was carried out for a relaxed structure of InNiBr4.

Lattice parameters (Å, degrees): 9.075 9.075 9.075 90.00 90.00 90.00
Space group F-43m (No. 216)
One atom of each set of equivalent atoms:
In1 0.000 0.000 0.000 x4
Ni1 0.250 0.250 0.750 x4
Br1 0.124 0.124 0.376 x16

***

19.
A plane-wave DFT calculation with PBE-GGA was carried out for a relaxed structure of In2NiBr.

Lattice parameters (Å, degrees): 7.212 7.212 7.212 90.00 90.00 90.00
Space group F-43m (No. 216)
One atom of each set of equivalent atoms:
In1 0.000 0.000 0.000 x4
In2 0.250 0.250 0.250 x4
Ni1 0.250 0.250 0.750 x4
Br1 0.000 0.000 0.500 x4

Summary:
The calculation puts the energy above the most stable polymorph in this dataset at 548.7 meV per atom.

***

20.
A plane-wave DFT calculation with PBE-GGA was carried out for a relaxed structure of InNiBr2.

Lattice parameters (Å, degrees): 5.460 3.741 6.049 90.00 99.06 90.00
Space group Pm (No. 6)
One atom of each set of equivalent atoms:
In1 0.000 0.000 0.000 x1
Ni1 0.179 0.500 0.759 x1
Br1 0.088 0.000 0.488 x1
Br2 0.562 0.500 0.998 x1

Summary:
The calculation puts the energy above the most stable polymorph in this dataset at 28.3 meV per atom.

***

Number 1: volume 41.34 A^3/atom, formation energy (no corrections) -1.237 eV/atom. Number 2: volume 22.92 A^3/atom, formation energy (no corrections) 0.326 eV/atom. Number 3: volume 25.85 A^3/atom, formation energy (no corrections) -0.323 eV/atom. Number 4: volume 27.17 A^3/atom, formation energy (no corrections) 0.175 eV/atom. Number 5: volume 27.25 A^3/atom, formation energy (no corrections) 0.186 eV/atom. Number 6: volume 22.87 A^3/atom, formation energy (no corrections) -0.154 eV/atom. Number 7: volume 41.47 A^3/atom, formation energy (no corrections) 0.842 eV/atom. Number 8: volume 28.96 A^3/atom, formation energy (no corrections) -0.275 eV/atom. Number 9: volume 27.10 A^3/atom, formation energy (no corrections) 0.185 eV/atom. Number 10: volume 23.91 A^3/atom, formation energy (no corrections) 0.410 eV/atom. Number 11: volume 27.46 A^3/atom, formation energy (no corrections) -0.138 eV/atom. Number 12: volume 24.69 A^3/atom, formation energy (no corrections) 0.211 eV/atom. Number 13: volume 26.69 A^3/atom, formation energy (no corrections) -0.250 eV/atom. Number 14: volume 24.46 A^3/atom, formation energy (no corrections) 0.327 eV/atom. Number 15: volume 22.06 A^3/atom, formation energy (no corrections) -0.117 eV/atom. Number 16: volume 26.40 A^3/atom, formation energy (no corrections) -0.256 eV/atom. Number 17: volume 25.70 A^3/atom, formation energy (no corrections) -0.116 eV/atom. Number 18: volume 31.14 A^3/atom, formation energy (no corrections) 0.722 eV/atom. Number 19: volume 23.44 A^3/atom, formation energy (no corrections) 0.395 eV/atom. Number 20: volume 30.51 A^3/atom, formation energy (no corrections) -0.262 eV/atom.